No. 1
Density functional theory data (PBE-GGA) for MnCd2 after structural relaxation.

Summary:
formation enthalpy at 0 K = 0.254 eV/atom
SG = No. 71

Cell lengths 5.165, 5.165, 5.165 Å; angles 146.44, 130.46, 61.17 degrees
Last column: magnetic moment on the atom in μB.
Atoms (fractional coordinates):
Cd (0.337, 0.337, 0.000)  -0.03
Cd (0.663, 0.663, 0.000)  -0.03
Mn (0.000, 0.000, 0.000)  3.69

=====

No. 2
Density functional theory data (PBE-GGA) for ThScCo2H8 after structural relaxation.

Summary:
SG = No. 148

Cell lengths 4.515, 4.515, 6.430 Å; angles 69.44, 69.44, 60.00 degrees
Atoms (fractional coordinates):
H (0.648, 0.100, 0.827)
H (0.425, 0.648, 0.827)
H (0.822, 0.822, 0.535)
H (0.100, 0.425, 0.827)
H (0.575, 0.352, 0.173)
H (0.900, 0.575, 0.173)
H (0.178, 0.178, 0.465)
H (0.352, 0.900, 0.173)
Th (0.500, 0.500, 0.500)
Sc (0.000, 0.000, 0.000)
Co (0.734, 0.734, 0.799)
Co (0.266, 0.266, 0.201)

=====

No. 3
Density functional theory data (PBE-GGA) for RbAsAu after structural relaxation.

Summary:
formation enthalpy at 0 K = -0.346 eV/atom
SG = No. 187

Cell lengths 5.495, 4.412, 4.412 Å; angles 120.00, 90.00, 90.00 degrees
Last column: magnetic moment on the atom in μB.
Atoms (fractional coordinates):
Rb (0.667, 0.333, 0.667)  0.01
Au (0.166, 0.000, 0.000)  0.05
As (0.167, 0.667, 0.333)  0.10

=====

No. 4
Density functional theory data (PBE-GGA) for SmHo2Sc3P6 after structural relaxation.

Summary:
formation enthalpy at 0 K = -1.524 eV/atom
SG = No. 12

Cell lengths 6.755, 6.755, 6.729 Å; angles 99.63, 99.63, 120.00 degrees
Atoms (fractional coordinates):
P (0.426, 0.089, 0.267)
P (0.574, 0.911, 0.733)
P (0.911, 0.574, 0.733)
P (0.751, 0.751, 0.266)
P (0.249, 0.249, 0.734)
P (0.089, 0.426, 0.267)
Sc (0.500, 0.500, 0.500)
Sc (0.834, 0.166, 0.500)
Sc (0.166, 0.834, 0.500)
Sm (0.000, 0.000, 0.000)
Ho (0.333, 0.667, 0.000)
Ho (0.667, 0.333, 0.000)

=====

No. 5
Density functional theory data (PBE-GGA) for Rb8IO2 after structural relaxation.

Summary:
E_form (uncorrected) = -755 meV/atom
SG = No. 12

Cell lengths 9.401, 8.240, 9.401 Å; angles 104.06, 124.23, 75.94 degrees
Atoms (fractional coordinates):
Rb (0.600, 0.311, 0.912)
Rb (0.851, 0.722, 0.149)
Rb (0.149, 0.278, 0.851)
Rb (0.355, 0.697, 0.645)
Rb (0.400, 0.689, 0.088)
Rb (0.912, 0.689, 0.600)
Rb (0.088, 0.311, 0.400)
Rb (0.645, 0.303, 0.355)
O (0.250, 0.494, 0.750)
O (0.750, 0.506, 0.250)
I (0.000, 0.000, 0.000)

=====

No. 6
Density functional theory data (PBE-GGA) for Ho2HgPt after structural relaxation.

Summary:
formation enthalpy at 0 K = -0.795 eV/atom
SG = No. 160

Cell lengths 4.088, 4.088, 7.741 Å; angles 74.69, 74.69, 60.00 degrees
Atoms (fractional coordinates):
Pt (0.666, 0.666, 0.002)
Ho (0.265, 0.265, 0.206)
Ho (0.069, 0.069, 0.792)
Hg (0.500, 0.500, 0.499)

=====

No. 7
Density functional theory data (PBE-GGA) for Zr6Pd3O2 after structural relaxation.

Summary:
E_form (uncorrected) = -1081 meV/atom
SG = No. 166

Cell lengths 3.322, 3.322, 20.386 Å; angles 85.33, 85.33, 60.00 degrees
Atoms (fractional coordinates):
Zr (0.103, 0.103, 0.691)
Zr (0.897, 0.897, 0.309)
Zr (0.188, 0.188, 0.437)
Zr (0.812, 0.812, 0.563)
Zr (0.632, 0.632, 0.103)
Zr (0.368, 0.368, 0.897)
Pd (0.266, 0.266, 0.201)
Pd (0.734, 0.734, 0.799)
Pd (0.000, 0.000, 0.000)
O (0.542, 0.542, 0.373)
O (0.458, 0.458, 0.627)

=====

No. 8
Density functional theory data (PBE-GGA) for K2BaCr after structural relaxation.

Summary:
formation enthalpy at 0 K = 0.698 eV/atom
SG = No. 65

Cell lengths 4.330, 4.330, 11.225 Å; angles 90.00, 90.00, 90.11 degrees
Last column: magnetic moment on the atom in μB.
Atoms (fractional coordinates):
Cr (0.500, 0.500, 0.750)  4.24
K (0.000, 0.000, 0.563)  0.01
K (0.000, 0.000, 0.937)  0.01
Ba (0.500, 0.500, 0.250)  -0.02

=====

No. 9
Density functional theory data (PBE-GGA) for TbPrNd2Tl4 after structural relaxation.

Summary:
formation enthalpy at 0 K = -0.377 eV/atom
SG = No. 166

Cell lengths 5.497, 5.497, 9.538 Å; angles 73.25, 73.25, 60.00 degrees
Atoms (fractional coordinates):
Tl (0.874, 0.874, 0.379)
Tl (0.126, 0.126, 0.621)
Tl (0.376, 0.376, 0.871)
Tl (0.624, 0.624, 0.129)
Nd (0.249, 0.249, 0.252)
Nd (0.751, 0.751, 0.748)
Pr (0.000, 0.000, 0.000)
Tb (0.500, 0.500, 0.500)

=====

No. 10
Density functional theory data (PBE-GGA) for BeHPd2 after structural relaxation.

Summary:
SG = No. 225

Cell lengths 3.913, 3.913, 3.913 Å; angles 60.00, 60.00, 60.00 degrees
Atoms (fractional coordinates):
Pd (0.750, 0.750, 0.750)
Pd (0.250, 0.250, 0.250)
Be (0.500, 0.500, 0.500)
H (0.000, 0.000, 0.000)

=====

No. 11
Density functional theory data (PBE-GGA) for Na2SrAg after structural relaxation.

Summary:
formation enthalpy at 0 K = 0.021 eV/atom
SG = No. 122

Cell lengths 4.661, 4.661, 12.976 Å; angles 79.65, 79.65, 90.00 degrees
Atoms (fractional coordinates):
Na (0.660, 0.125, 0.250)
Na (0.375, 0.340, 0.750)
Na (0.090, 0.625, 0.250)
Na (0.875, 0.910, 0.750)
Sr (0.500, 0.500, 0.000)
Sr (0.250, 0.750, 0.500)
Ag (0.750, 0.250, 0.500)
Ag (0.000, 0.000, 0.000)

=====

No. 12
Density functional theory data (PBE-GGA) for BiSCl2 after structural relaxation.

Summary:
E_form (uncorrected) = -431 meV/atom
SG = No. 63

Cell lengths 4.022, 7.421, 8.471 Å; angles 90.00, 90.00, 105.72 degrees
Last column: magnetic moment on the atom in μB.
Atoms (fractional coordinates):
S (0.897, 0.794, 0.250)  0.52
S (0.103, 0.206, 0.750)  0.52
Cl (0.653, 0.306, 0.052)  0.08
Cl (0.347, 0.694, 0.552)  0.08
Cl (0.653, 0.306, 0.448)  0.08
Cl (0.347, 0.694, 0.948)  0.08
Bi (0.270, 0.541, 0.250)  -0.03
Bi (0.730, 0.459, 0.750)  -0.03

=====

Computed values of total magnetization (unit: μB per atom) for the preceding records, in sequence: 1.28; 0.00; 0.10; 0.00; 0.00; 0.00; 0.00; 1.26; 0.00; 0.00; 0.00; 0.25.
Computed values of total DFT energy (no corrections) (unit: eV per atom) for the preceding records, in sequence: -3.41; -4.82; -3.31; -6.97; -2.50; -4.67; -8.06; -2.74; -3.93; -4.41; -1.77; -3.36.